Entry 1:
# La2OsCl PBE-GGA relaxed
# Space-group type   Imm2
# Crystal system   orthorhombic
# Energy relative to the lowest polymorph listed for this composition   0.170 eV per atom
data_La2OsCl
_chemical_formula_sum 'La4 Os2 Cl2'
_symmetry_space_group_name_H-M 'P 1'
_symmetry_Int_Tables_number 1
_symmetry_space_group_name_Hall 'P 1'
_cell_length_a 3.522
_cell_length_b 3.872
_cell_length_c 15.942
_cell_angle_alpha 90.00
_cell_angle_beta 90.00
_cell_angle_gamma 90.00
loop_
_atom_site_label
_atom_site_type_symbol
_atom_site_fract_x
_atom_site_fract_y
_atom_site_fract_z
La1 La 0.000 0.000 0.000
La2 La 0.000 0.500 0.284
La3 La 0.500 0.000 0.784
La4 La 0.500 0.500 0.500
Os1 Os 0.000 0.500 0.876
Os2 Os 0.500 0.000 0.376
Cl1 Cl 0.000 0.000 0.620
Cl2 Cl 0.500 0.500 0.120

Entry 2:
# LaOsCl2 PBE-GGA relaxed
# Space-group type   C2/m
# Crystal system   monoclinic
# Energy relative to the lowest polymorph listed for this composition   0.000 eV per atom
data_LaOsCl2
_chemical_formula_sum 'La2 Os2 Cl4'
_symmetry_space_group_name_H-M 'P 1'
_symmetry_Int_Tables_number 1
_symmetry_space_group_name_Hall 'P 1'
_cell_length_a 13.803
_cell_length_b 3.799
_cell_length_c 4.552
_cell_angle_alpha 90.00
_cell_angle_beta 90.82
_cell_angle_gamma 90.00
loop_
_atom_site_label
_atom_site_type_symbol
_atom_site_fract_x
_atom_site_fract_y
_atom_site_fract_z
La1 La 0.000 0.000 0.000
La2 La 0.500 0.500 0.000
Os1 Os 0.000 0.500 0.500
Os2 Os 0.500 0.000 0.500
Cl1 Cl 0.148 0.500 0.765
Cl2 Cl 0.352 0.000 0.235
Cl3 Cl 0.648 0.000 0.765
Cl4 Cl 0.852 0.500 0.235

Entry 3:
# LaOsCl2 PBE-GGA relaxed
# Space-group type   I-4m2
# Crystal system   tetragonal
# Energy relative to the lowest polymorph listed for this composition   0.536 eV per atom
data_LaOsCl2
_chemical_formula_sum 'La2 Os2 Cl4'
_symmetry_space_group_name_H-M 'P 1'
_symmetry_Int_Tables_number 1
_symmetry_space_group_name_Hall 'P 1'
_cell_length_a 4.064
_cell_length_b 4.064
_cell_length_c 10.092
_cell_angle_alpha 90.00
_cell_angle_beta 90.00
_cell_angle_gamma 90.00
loop_
_atom_site_label
_atom_site_type_symbol
_atom_site_fract_x
_atom_site_fract_y
_atom_site_fract_z
La1 La 0.000 0.000 0.000
La2 La 0.500 0.500 0.500
Os1 Os 0.000 0.500 0.750
Os2 Os 0.500 0.000 0.250
Cl1 Cl 0.000 0.000 0.500
Cl2 Cl 0.000 0.500 0.250
Cl3 Cl 0.500 0.000 0.750
Cl4 Cl 0.500 0.500 0.000

Entry 4:
# LaOs4Cl PBE-GGA relaxed
# Space-group type   F-43m
# Crystal system   cubic
data_LaOs4Cl
_chemical_formula_sum 'La1 Os4 Cl1'
_symmetry_space_group_name_H-M 'P 1'
_symmetry_Int_Tables_number 1
_symmetry_space_group_name_Hall 'P 1'
_cell_length_a 5.403
_cell_length_b 5.403
_cell_length_c 5.403
_cell_angle_alpha 60.00
_cell_angle_beta 60.00
_cell_angle_gamma 60.00
loop_
_atom_site_label
_atom_site_type_symbol
_atom_site_fract_x
_atom_site_fract_y
_atom_site_fract_z
La1 La 0.000 0.000 0.000
Os1 Os 0.126 0.625 0.625
Os2 Os 0.625 0.126 0.625
Os3 Os 0.625 0.625 0.126
Os4 Os 0.625 0.625 0.625
Cl1 Cl 0.250 0.250 0.250

Entry 5:
# LaOsCl2 PBE-GGA relaxed
# Space-group type   F-43m
# Crystal system   cubic
# Energy relative to the lowest polymorph listed for this composition   0.740 eV per atom
data_LaOsCl2
_chemical_formula_sum 'La4 Os4 Cl8'
_symmetry_space_group_name_H-M 'P 1'
_symmetry_Int_Tables_number 1
_symmetry_space_group_name_Hall 'P 1'
_cell_length_a 7.192
_cell_length_b 7.192
_cell_length_c 7.192
_cell_angle_alpha 90.00
_cell_angle_beta 90.00
_cell_angle_gamma 90.00
loop_
_atom_site_label
_atom_site_type_symbol
_atom_site_fract_x
_atom_site_fract_y
_atom_site_fract_z
La1 La 0.000 0.000 0.000
La2 La 0.000 0.500 0.500
La3 La 0.500 0.000 0.500
La4 La 0.500 0.500 0.000
Os1 Os 0.250 0.250 0.750
Os2 Os 0.250 0.750 0.250
Os3 Os 0.750 0.250 0.250
Os4 Os 0.750 0.750 0.750
Cl1 Cl 0.000 0.000 0.500
Cl2 Cl 0.000 0.500 0.000
Cl3 Cl 0.250 0.250 0.250
Cl4 Cl 0.250 0.750 0.750
Cl5 Cl 0.500 0.000 0.000
Cl6 Cl 0.500 0.500 0.500
Cl7 Cl 0.750 0.250 0.750
Cl8 Cl 0.750 0.750 0.250

Entry 6:
# LaOsCl2 PBE-GGA relaxed
# Space-group type   Cmmm
# Crystal system   orthorhombic
# Energy relative to the lowest polymorph listed for this composition   0.325 eV per atom
data_LaOsCl2
_chemical_formula_sum 'La2 Os2 Cl4'
_symmetry_space_group_name_H-M 'P 1'
_symmetry_Int_Tables_number 1
_symmetry_space_group_name_Hall 'P 1'
_cell_length_a 5.987
_cell_length_b 6.754
_cell_length_c 4.308
_cell_angle_alpha 90.00
_cell_angle_beta 90.00
_cell_angle_gamma 90.00
loop_
_atom_site_label
_atom_site_type_symbol
_atom_site_fract_x
_atom_site_fract_y
_atom_site_fract_z
La1 La 0.000 0.000 0.000
La2 La 0.500 0.500 0.000
Os1 Os 0.000 0.500 0.000
Os2 Os 0.500 0.000 0.000
Cl1 Cl 0.000 0.294 0.500
Cl2 Cl 0.000 0.706 0.500
Cl3 Cl 0.500 0.206 0.500
Cl4 Cl 0.500 0.794 0.500

Entry 7:
# La2OsCl PBE-GGA relaxed
# Space-group type   P4mm
# Crystal system   tetragonal
# Energy relative to the lowest polymorph listed for this composition   0.097 eV per atom
data_La2OsCl
_chemical_formula_sum 'La2 Os1 Cl1'
_symmetry_space_group_name_H-M 'P 1'
_symmetry_Int_Tables_number 1
_symmetry_space_group_name_Hall 'P 1'
_cell_length_a 4.268
_cell_length_b 4.268
_cell_length_c 5.810
_cell_angle_alpha 90.00
_cell_angle_beta 90.00
_cell_angle_gamma 90.00
loop_
_atom_site_label
_atom_site_type_symbol
_atom_site_fract_x
_atom_site_fract_y
_atom_site_fract_z
La1 La 0.000 0.000 0.000
La2 La 0.500 0.500 0.467
Os1 Os 0.000 0.000 0.432
Cl1 Cl 0.500 0.500 0.965

Entry 8:
# LaOsCl2 PBE-GGA relaxed
# Space-group type   Cmm2
# Crystal system   orthorhombic
# Energy relative to the lowest polymorph listed for this composition   0.321 eV per atom
data_LaOsCl2
_chemical_formula_sum 'La2 Os2 Cl4'
_symmetry_space_group_name_H-M 'P 1'
_symmetry_Int_Tables_number 1
_symmetry_space_group_name_Hall 'P 1'
_cell_length_a 4.371
_cell_length_b 5.817
_cell_length_c 8.113
_cell_angle_alpha 90.00
_cell_angle_beta 90.00
_cell_angle_gamma 90.00
loop_
_atom_site_label
_atom_site_type_symbol
_atom_site_fract_x
_atom_site_fract_y
_atom_site_fract_z
La1 La 0.000 0.000 0.000
La2 La 0.500 0.500 0.000
Os1 Os 0.000 0.500 0.246
Os2 Os 0.500 0.000 0.246
Cl1 Cl 0.000 0.000 0.350
Cl2 Cl 0.000 0.500 0.763
Cl3 Cl 0.500 0.000 0.763
Cl4 Cl 0.500 0.500 0.350

Per-record formation energy (no corrections), eV/f.u.: -2.9; -2.7; -0.6; 4.3; 0.2; -1.4; -3.2; -1.4
Per-record DOS(E_F), states/eV per cell: 4.977; 3.203; 6.867; 11.283; 20.454; 4.426; 2.030; 2.677